The following is a PBE calculation of a relaxed NaIn4Ag crystal, from the Alexandria database.

Cell: 5.3048 3.3623 9.5039 Å, 116.98 90.00 90.00°
Atoms (fractional coordinates):
Na 0.0000 0.0000 0.0000
In 0.0000 0.9477 0.6534
In 0.5000 0.3390 0.8162
In 0.5000 0.6610 0.1838
In 0.0000 0.0523 0.3466
Ag 0.5000 0.5000 0.5000

Output
* spin magnetization: 0.000 Bohr magnetons per cell
* ΔE to the lowest computed polymorph: 0.010 eV per atom
* formation energy: -0.016 eV/atom
* Fermi-level density of states: 2.1 states/eV/cell


The following is a PBE calculation of a relaxed NaIn2Ag crystal, from the Alexandria database.

Cell: 3.3101 3.3101 8.7889 Å, 90.00 90.00 90.00°
Atoms (fractional coordinates):
Na 0.5000 0.5000 0.5000
Ag 0.5000 0.5000 0.0000
In 0.0000 0.0000 0.7829
In 0.0000 0.0000 0.2171

Output
* spin magnetization: 0.000 Bohr magnetons per cell
* formation energy: -0.076 eV/atom
* Fermi-level density of states: 2.2 states/eV/cell


The following is a PBE calculation of a relaxed Na3InAg8 crystal, from the Alexandria database.

Cell: 5.6644 5.6644 9.7601 Å, 73.13 73.13 60.00°
Atoms (fractional coordinates):
Na 0.3748 0.3748 0.8757
Na 0.9989 0.9989 0.0032
Na 0.5010 0.5010 0.4969
In 0.8747 0.8747 0.3759
Ag 0.9356 0.4372 0.1900
Ag 0.4401 0.9377 0.6845
Ag 0.4372 0.4372 0.1900
Ag 0.9377 0.9377 0.6845
Ag 0.1875 0.1875 0.4374
Ag 0.6875 0.6875 0.9376
Ag 0.4372 0.9356 0.1900
Ag 0.9377 0.4401 0.6845

Output
* spin magnetization: 0.000 Bohr magnetons per cell
* formation energy: -0.055 eV/atom
* Fermi-level density of states: 5.0 states/eV/cell


What did the second record say?
The following is a PBE calculation of a relaxed NaIn2Ag crystal, from the Alexandria database.

Cell: 3.3101 3.3101 8.7889 Å, 90.00 90.00 90.00°
Atoms (fractional coordinates):
Na 0.5000 0.5000 0.5000
Ag 0.5000 0.5000 0.0000
In 0.0000 0.0000 0.7829
In 0.0000 0.0000 0.2171

Output
* spin magnetization: 0.000 Bohr magnetons per cell
* formation energy: -0.076 eV/atom
* Fermi-level density of states: 2.2 states/eV/cell


- Look up the spin magnetization of the third one.
  0.000 Bohr magnetons per cell


- Among the records above, which one has the lowest formation energy?
  NaIn2Ag


- Among the records above, which one has the highest formation energy?
  NaIn4Ag